A plane-wave DFT calculation with PBE-GGA was carried out for an optimized crystal structure of ZrScNi2.

Its formation energy is -0.171 eV/atom. The total energy comes out at -54.26 eV/cell.

Cell: 6.3597 3.6987 6.4540 Å, 90.00 109.44 90.00°
Space group C2/m (No. 12)
Asymmetric unit:
Zr: 0.0000 0.0000 0.0000 (multiplicity 2)
Sc: 0.0000 0.5000 0.5000 (multiplicity 2)
Ni: 0.2494 0.0000 0.7480 (multiplicity 4)

A plane-wave DFT calculation with PBE-GGA was carried out for an optimized crystal structure of ZrScNi2.

Its formation energy is 0.024 eV/atom. The total energy comes out at -105.39 eV/cell.

Cell: 6.9521 6.9521 5.6747 Å, 90.00 90.00 90.00°
Space group I-42d (No. 122)
Asymmetric unit:
Zr: 0.0000 0.0000 0.0000 (multiplicity 4)
Sc: 0.0000 0.0000 0.5000 (multiplicity 4)
Ni: 0.2484 0.7500 0.6250 (multiplicity 8)

A plane-wave DFT calculation with PBE-GGA was carried out for an optimized crystal structure of ZrScNi2.

Its formation energy is -0.472 eV/atom. The total energy comes out at -28.33 eV/cell.

Cell: 3.3531 4.1871 5.0501 Å, 90.00 109.16 90.00°
Space group Pm (No. 6)
Asymmetric unit:
Zr: 0.0000 0.0000 0.0000 (multiplicity 1)
Sc: 0.2797 0.5000 0.5606 (multiplicity 1)
Ni: 0.5590 0.5000 0.1182 (multiplicity 1)
Ni: 0.7190 0.0000 0.4388 (multiplicity 1)

A plane-wave DFT calculation with PBE-GGA was carried out for an optimized crystal structure of ZrScNi2.

Its formation energy is -0.171 eV/atom. The total energy comes out at -108.50 eV/cell.

Cell: 6.2573 6.2573 6.2573 Å, 90.00 90.00 90.00°
Space group F-43m (No. 216)
Asymmetric unit:
Zr: 0.0000 0.0000 0.0000 (multiplicity 4)
Sc: 0.2500 0.2500 0.2500 (multiplicity 4)
Ni: 0.0000 0.0000 0.5000 (multiplicity 4)
Ni: 0.2500 0.2500 0.7500 (multiplicity 4)

A plane-wave DFT calculation with PBE-GGA was carried out for an optimized crystal structure of Zr3ScNi2.

Its formation energy is -0.271 eV/atom. The total energy comes out at -90.33 eV/cell.

Cell: 3.3227 8.8214 7.9300 Å, 90.00 90.00 90.00°
Space group Pmc2_1 (No. 26)
Asymmetric unit:
Zr: 0.0000 0.0643 0.0000 (multiplicity 2)
Zr: 0.0000 0.2928 0.3629 (multiplicity 2)
Zr: 0.5000 0.2157 0.6747 (multiplicity 2)
Sc: 0.5000 0.4219 0.0284 (multiplicity 2)
Ni: 0.0000 0.4289 0.7453 (multiplicity 2)
Ni: 0.5000 0.0832 0.2760 (multiplicity 2)

A plane-wave DFT calculation with PBE-GGA was carried out for an optimized crystal structure of ZrSc2Ni3.

Its formation energy is -0.455 eV/atom. The total energy comes out at -82.57 eV/cell.

Cell: 4.4911 13.5299 3.2079 Å, 90.00 90.00 90.00°
Space group Pmmn (No. 59, origin choice 2)
Asymmetric unit:
Zr: 0.2500 0.2500 0.0015 (multiplicity 2)
Sc: 0.2500 0.5807 0.9991 (multiplicity 4)
Ni: 0.2500 0.0888 0.5009 (multiplicity 4)
Ni: 0.2500 0.7500 0.4983 (multiplicity 2)

A plane-wave DFT calculation with PBE-GGA was carried out for an optimized crystal structure of Zr2ScNi2.

Its formation energy is -0.361 eV/atom. For the energy relative to the lowest polymorph listed for this composition, the calculation gives 0.0 meV per atom. The total energy comes out at -73.59 eV/cell.

Cell: 7.3595 7.3595 3.3185 Å, 90.00 90.00 90.00°
Space group P4/mbm (No. 127)
Asymmetric unit:
Zr: 0.1677 0.3323 0.0000 (multiplicity 4)
Sc: 0.0000 0.0000 0.5000 (multiplicity 2)
Ni: 0.1237 0.6237 0.5000 (multiplicity 4)

A plane-wave DFT calculation with PBE-GGA was carried out for an optimized crystal structure of ZrScNi3.

Its formation energy is 0.522 eV/atom. For the energy relative to the lowest polymorph listed for this composition, the calculation gives 0.0 meV per atom. The total energy comes out at -29.61 eV/cell.

Cell: 4.4209 4.4209 4.4209 Å, 90.00 90.00 90.00°
Space group Pm-3m (No. 221)
Asymmetric unit:
Zr: 0.0000 0.0000 0.0000 (multiplicity 1)
Sc: 0.5000 0.5000 0.5000 (multiplicity 1)
Ni: 0.0000 0.5000 0.5000 (multiplicity 3)

A plane-wave DFT calculation with PBE-GGA was carried out for an optimized crystal structure of ZrSc3Ni.

Its formation energy is 0.078 eV/atom. For the energy relative to the lowest polymorph listed for this composition, the calculation gives 254.1 meV per atom. The total energy comes out at -32.93 eV/cell.

Cell: 4.8683 4.8683 4.8683 Å, 90.00 90.00 90.00°
Space group Pm-3m (No. 221)
Asymmetric unit:
Zr: 0.0000 0.0000 0.0000 (multiplicity 1)
Sc: 0.0000 0.5000 0.5000 (multiplicity 3)
Ni: 0.5000 0.5000 0.5000 (multiplicity 1)

A plane-wave DFT calculation with PBE-GGA was carried out for an optimized crystal structure of ZrSc3Ni.

Its formation energy is 1.070 eV/atom. For the energy relative to the lowest polymorph listed for this composition, the calculation gives 1246.3 meV per atom. The total energy comes out at -27.97 eV/cell.

Cell: 5.0289 5.0289 5.0289 Å, 90.00 90.00 90.00°
Space group Pm-3m (No. 221)
Asymmetric unit:
Zr: 0.0000 0.0000 0.0000 (multiplicity 1)
Sc: 0.0000 0.0000 0.5000 (multiplicity 3)
Ni: 0.5000 0.5000 0.5000 (multiplicity 1)

A plane-wave DFT calculation with PBE-GGA was carried out for an optimized crystal structure of ZrScNi5.

Its formation energy is -0.200 eV/atom. The total energy comes out at -45.18 eV/cell.

Cell: 3.6350 3.6350 7.7977 Å, 90.00 90.00 90.00°
Space group P4/mmm (No. 123)
Asymmetric unit:
Zr: 0.0000 0.0000 0.0000 (multiplicity 1)
Sc: 0.5000 0.5000 0.5000 (multiplicity 1)
Ni: 0.0000 0.5000 0.2488 (multiplicity 4)
Ni: 0.5000 0.5000 0.0000 (multiplicity 1)

A plane-wave DFT calculation with PBE-GGA was carried out for an optimized crystal structure of Zr4ScNi.

Its formation energy is 0.445 eV/atom. The total energy comes out at -174.54 eV/cell.

Cell: 8.1252 8.1252 8.1252 Å, 90.00 90.00 90.00°
Space group F-43m (No. 216)
Asymmetric unit:
Zr: 0.1244 0.1244 0.3756 (multiplicity 16)
Sc: 0.2500 0.2500 0.7500 (multiplicity 4)
Ni: 0.0000 0.0000 0.0000 (multiplicity 4)

A plane-wave DFT calculation with PBE-GGA was carried out for an optimized crystal structure of ZrScNi2.

Its formation energy is -0.237 eV/atom. The total energy comes out at -27.39 eV/cell.

Cell: 3.5309 3.5309 5.5674 Å, 90.00 90.00 90.00°
Space group P4mm (No. 99)
Asymmetric unit:
Zr: 0.0000 0.0000 0.0000 (multiplicity 1)
Sc: 0.5000 0.5000 0.6139 (multiplicity 1)
Ni: 0.0000 0.0000 0.4867 (multiplicity 1)
Ni: 0.5000 0.5000 0.1474 (multiplicity 1)

A plane-wave DFT calculation with PBE-GGA was carried out for an optimized crystal structure of Zr2ScNi2.

Its formation energy is -0.171 eV/atom. For the energy relative to the lowest polymorph listed for this composition, the calculation gives 190.5 meV per atom. The total energy comes out at -71.69 eV/cell.

Cell: 7.6390 7.6390 3.0641 Å, 90.00 90.00 90.00°
Space group P4/mbm (No. 127)
Asymmetric unit:
Zr: 0.1528 0.3472 0.0000 (multiplicity 4)
Sc: 0.0000 0.0000 0.0000 (multiplicity 2)
Ni: 0.1419 0.6419 0.5000 (multiplicity 4)

A plane-wave DFT calculation with PBE-GGA was carried out for an optimized crystal structure of ZrSc2Ni6.

Its formation energy is -0.313 eV/atom. The total energy comes out at -58.71 eV/cell.

Cell: 5.2573 5.2573 5.5437 Å, 90.00 90.00 120.00°
Space group P-3m1 (No. 164)
Asymmetric unit:
Zr: 0.0000 0.0000 0.0000 (multiplicity 1)
Sc: 0.3333 0.6667 0.8205 (multiplicity 2)
Ni: 0.1809 0.3618 0.3361 (multiplicity 6)

A plane-wave DFT calculation with PBE-GGA was carried out for an optimized crystal structure of ZrSc3Ni.

Its formation energy is -0.176 eV/atom. For the energy relative to the lowest polymorph listed for this composition, the calculation gives 0.0 meV per atom. The total energy comes out at -136.81 eV/cell.

Cell: 17.2934 3.2545 7.5520 Å, 90.00 102.48 90.00°
Space group C2/m (No. 12)
Asymmetric unit:
Zr: 0.0907 0.0000 0.0468 (multiplicity 4)
Sc: 0.0044 0.5000 0.7021 (multiplicity 4)
Sc: 0.1787 0.5000 0.3830 (multiplicity 4)
Sc: 0.1970 0.5000 0.8166 (multiplicity 4)
Ni: 0.1078 0.0000 0.5724 (multiplicity 4)

A plane-wave DFT calculation with PBE-GGA was carried out for an optimized crystal structure of NiSe8.

As for the formation energy from raw total energies: 3.706 kcal/mol of atoms. The total energy comes out at -64.42 eV/cell.

Cell: 11.7897 11.7897 3.7609 Å, 90.00 90.00 90.00°
Space group I4/mmm (No. 139)
Asymmetric unit:
Ni: 0.0000 0.0000 0.0000 (multiplicity 2)
Se: 0.0000 0.1938 0.0000 (multiplicity 8)
Se: 0.1759 0.1759 0.5000 (multiplicity 8)

A plane-wave DFT calculation with PBE-GGA was carried out for an optimized crystal structure of NiSe5.

For the energy relative to the lowest polymorph listed for this composition, the calculation gives 324.0 meV per atom. As for the formation energy from raw total energies: 5.893 kcal/mol of atoms. The total energy comes out at -21.67 eV/cell.

Cell: 6.3116 6.3116 3.5456 Å, 90.00 90.00 120.00°
Space group P-62m (No. 189)
Asymmetric unit:
Ni: 0.0000 0.0000 0.0000 (multiplicity 1)
Se: 0.0000 0.7290 0.5000 (multiplicity 3)
Se: 0.3333 0.6667 0.0000 (multiplicity 2)

A plane-wave DFT calculation with PBE-GGA was carried out for an optimized crystal structure of Ni3Se.

For the energy relative to the lowest polymorph listed for this composition, the calculation gives 110.1 meV per atom. As for the formation energy from raw total energies: 2.824 kcal/mol of atoms. The total energy comes out at -81.35 eV/cell.

Cell: 5.7966 5.7966 5.7966 Å, 90.00 90.00 90.00°
Space group Fm-3m (No. 225)
Asymmetric unit:
Ni: 0.0000 0.0000 0.0000 (multiplicity 4)
Ni: 0.2500 0.2500 0.2500 (multiplicity 8)
Se: 0.0000 0.0000 0.5000 (multiplicity 4)

A plane-wave DFT calculation with PBE-GGA was carried out for an optimized crystal structure of Ni3Se2.

As for the formation energy from raw total energies: -1.619 kcal/mol of atoms. The total energy comes out at -197.31 eV/cell.

Cell: 11.8241 12.9014 4.0030 Å, 90.00 90.00 90.00°
Space group Fdd2 (No. 43)
Asymmetric unit:
Ni: 0.0000 0.0000 0.0000 (multiplicity 8)
Ni: 0.1191 0.2584 0.7493 (multiplicity 16)
Se: 0.0700 0.1655 0.2373 (multiplicity 16)